(1)
Computed, not measured: a relaxed structure of BaNbPt2O at the PBE level of DFT.

```
data_BaNbPt2O
_space_group_name_H-M_alt 'P 4/m m m'
_space_group_IT_number 123
_space_group_name_Hall '-P 4 2'
_cell_length_a 4.732
_cell_length_b 4.732
_cell_length_c 7.195
_cell_angle_alpha 90.00
_cell_angle_beta 90.00
_cell_angle_gamma 90.00
loop_
_atom_site_label
_atom_site_type_symbol
_atom_site_fract_x
_atom_site_fract_y
_atom_site_fract_z
Ba1 Ba 0.000 0.000 0.000
Nb1 Nb 0.000 0.000 0.500
Pt1 Pt 0.000 0.500 0.500
O1 O 0.500 0.500 0.000
```

Summary:
E_form (uncorrected)	0.660	eV per atom
spin magnetization	0.836	μB per cell
theoretical density	6.56	Mg/m³

---

(2)
Computed, not measured: a relaxed structure of Pu2NiCl at the PBE level of DFT.

```
data_Pu2NiCl
_space_group_name_H-M_alt 'P 4/m m m'
_space_group_IT_number 123
_space_group_name_Hall '-P 4 2'
_cell_length_a 3.279
_cell_length_b 3.279
_cell_length_c 7.875
_cell_angle_alpha 90.00
_cell_angle_beta 90.00
_cell_angle_gamma 90.00
loop_
_atom_site_label
_atom_site_type_symbol
_atom_site_fract_x
_atom_site_fract_y
_atom_site_fract_z
Pu1 Pu 0.000 0.000 0.221
Ni1 Ni 0.500 0.500 0.000
Cl1 Cl 0.500 0.500 0.500
```

Summary:
E_form (uncorrected)	-0.528	eV per atom
spin magnetization	11.817	μB per cell
relative energy among the computed polymorphs	0.000	eV per atom
theoretical density	11.42	Mg/m³

---

(3)
Computed, not measured: a relaxed structure of AlPRh3 at the PBE level of DFT.

```
data_AlPRh3
_space_group_name_H-M_alt 'P m -3 m'
_space_group_IT_number 221
_space_group_name_Hall '-P 4 2 3'
_cell_length_a 4.347
_cell_length_b 4.347
_cell_length_c 4.347
_cell_angle_alpha 90.00
_cell_angle_beta 90.00
_cell_angle_gamma 90.00
loop_
_atom_site_label
_atom_site_type_symbol
_atom_site_fract_x
_atom_site_fract_y
_atom_site_fract_z
Al1 Al 0.000 0.000 0.000
P1 P 0.500 0.500 0.500
Rh1 Rh 0.000 0.500 0.500
```

Summary:
spin magnetization	0.000	μB per cell
energy of formation	-0.173	eV/atom
relative energy among the computed polymorphs	0.000	eV per atom
theoretical density	7.41	Mg/m³

---

(4)
Computed, not measured: a relaxed structure of CsTi4O8 at the PBE level of DFT.

```
data_CsTi4O8
_space_group_name_H-M_alt 'R -3 m'
_space_group_IT_number 166
_space_group_name_Hall '-R 3 2"'
_cell_length_a 5.9796
_cell_length_b 5.9796
_cell_length_c 22.0024
_cell_angle_alpha 90.00
_cell_angle_beta 90.00
_cell_angle_gamma 120.00
loop_
_atom_site_label
_atom_site_type_symbol
_atom_site_fract_x
_atom_site_fract_y
_atom_site_fract_z
Cs1 Cs 0.0000 0.0000 0.0000
Ti1 Ti 0.0000 0.0000 0.5000
Ti2 Ti 0.0000 0.5000 0.5000
O1 O 0.0000 0.0000 0.2121
O2 O 0.0011 0.5005 0.7871
```

Summary:
E_form (uncorrected)	-2.861	eV per atom
spin magnetization	3.213	μB per cell
theoretical density	3.31	Mg/m³

---

(5)
Computed, not measured: a relaxed structure of YCdNiPb2 at the PBE level of DFT.

```
data_YCdNiPb2
_space_group_name_H-M_alt 'P 4/m m m'
_space_group_IT_number 123
_space_group_name_Hall '-P 4 2'
_cell_length_a 5.537
_cell_length_b 5.537
_cell_length_c 4.790
_cell_angle_alpha 90.00
_cell_angle_beta 90.00
_cell_angle_gamma 90.00
loop_
_atom_site_label
_atom_site_type_symbol
_atom_site_fract_x
_atom_site_fract_y
_atom_site_fract_z
Y1 Y 0.000 0.000 0.000
Cd1 Cd 0.500 0.500 0.500
Ni1 Ni 0.500 0.500 0.000
Pb1 Pb 0.000 0.500 0.500
```

Summary:
spin magnetization	0.000	μB per cell
energy of formation	0.509	eV/atom
theoretical density	7.62	Mg/m³

---

(6)
Computed, not measured: a relaxed structure of PbCBr2 at the PBE level of DFT.

```
data_PbCBr2
_space_group_name_H-M_alt 'I -4 2 d'
_space_group_IT_number 122
_space_group_name_Hall 'I -4 2bw'
_cell_length_a 6.877
_cell_length_b 6.877
_cell_length_c 9.757
_cell_angle_alpha 90.00
_cell_angle_beta 90.00
_cell_angle_gamma 90.00
loop_
_atom_site_label
_atom_site_type_symbol
_atom_site_fract_x
_atom_site_fract_y
_atom_site_fract_z
Pb1 Pb 0.000 0.000 0.000
C1 C 0.000 0.000 0.500
Br1 Br 0.001 0.750 0.625
```

Summary:
E_form (uncorrected)	1.185	eV per atom
spin magnetization	0.000	μB per cell
relative energy among the computed polymorphs	0.000	eV per atom
theoretical density	5.46	Mg/m³

---

(7)
Computed, not measured: a relaxed structure of RbAs at the PBE level of DFT.

```
data_RbAs
_space_group_name_H-M_alt 'P 63/m m c'
_space_group_IT_number 194
_space_group_name_Hall '-P 6c 2c'
_cell_length_a 12.5594
_cell_length_b 12.5594
_cell_length_c 4.4356
_cell_angle_alpha 90.00
_cell_angle_beta 90.00
_cell_angle_gamma 120.00
loop_
_atom_site_label
_atom_site_type_symbol
_atom_site_fract_x
_atom_site_fract_y
_atom_site_fract_z
Rb1 Rb 0.2173 0.4346 0.2500
As1 As 0.0554 0.5277 0.7500
```

Summary:
spin magnetization	0.269	μB per cell
energy of formation	-0.307	eV/atom
relative energy among the computed polymorphs	0.126	eV per atom
theoretical density	2.64	Mg/m³

---

(8)
Computed, not measured: a relaxed structure of CaBeBr2 at the PBE level of DFT.

```
data_CaBeBr2
_space_group_name_H-M_alt 'P 1 2/m 1'
_space_group_IT_number 10
_cell_length_a 4.421
_cell_length_b 4.125
_cell_length_c 5.906
_cell_angle_alpha 90.00
_cell_angle_beta 111.15
_cell_angle_gamma 90.00
loop_
_space_group_symop_operation_xyz
'x,y,z'
'-x,-y,-z'
'-x,y,-z'
'x,-y,z'
loop_
_atom_site_label
_atom_site_type_symbol
_atom_site_fract_x
_atom_site_fract_y
_atom_site_fract_z
Ca1 Ca 0.000 0.000 0.000
Be1 Be 0.000 0.500 0.500
Br1 Br 0.500 0.000 0.500
Br2 Br 0.500 0.500 0.000
```

Summary:
E_form (uncorrected)	-0.453	eV per atom
spin magnetization	0.000	μB per cell
relative energy among the computed polymorphs	0.347	eV per atom
theoretical density	3.45	Mg/m³

---

(9)
Computed, not measured: a relaxed structure of SrCaRh2 at the PBE level of DFT.

```
data_SrCaRh2
_space_group_name_H-M_alt 'P 4/m m m'
_space_group_IT_number 123
_space_group_name_Hall '-P 4 2'
_cell_length_a 4.932
_cell_length_b 4.932
_cell_length_c 3.576
_cell_angle_alpha 90.00
_cell_angle_beta 90.00
_cell_angle_gamma 90.00
loop_
_atom_site_label
_atom_site_type_symbol
_atom_site_fract_x
_atom_site_fract_y
_atom_site_fract_z
Sr1 Sr 0.000 0.000 0.000
Ca1 Ca 0.500 0.500 0.000
Rh1 Rh 0.000 0.500 0.500
```

Summary:
spin magnetization	0.000	μB per cell
energy of formation	-0.131	eV/atom
theoretical density	6.37	Mg/m³

---

(10)
Computed, not measured: a relaxed structure of Ho4In at the PBE level of DFT.

```
data_Ho4In
_space_group_name_H-M_alt 'I m m a'
_space_group_IT_number 74
_space_group_name_Hall '-I 2b 2'
_cell_length_a 5.201
_cell_length_b 6.735
_cell_length_c 16.317
_cell_angle_alpha 90.00
_cell_angle_beta 90.00
_cell_angle_gamma 90.00
loop_
_atom_site_label
_atom_site_type_symbol
_atom_site_fract_x
_atom_site_fract_y
_atom_site_fract_z
Ho1 Ho 0.000 0.000 0.000
Ho2 Ho 0.000 0.006 0.197
Ho3 Ho 0.000 0.250 0.605
In1 In 0.000 0.250 0.389
```

Summary:
spin magnetization	0.000	μB per cell
energy of formation	-0.117	eV/atom
relative energy among the computed polymorphs	0.000	eV per atom
theoretical density	9.00	Mg/m³

---

(11)
Computed, not measured: a relaxed structure of TbSmC at the PBE level of DFT.

```
data_TbSmC
_space_group_name_H-M_alt 'P 3 m 1'
_space_group_IT_number 156
_cell_length_a 3.6100
_cell_length_b 3.6100
_cell_length_c 6.4481
_cell_angle_alpha 90.00
_cell_angle_beta 90.00
_cell_angle_gamma 120.00
loop_
_space_group_symop_operation_xyz
'x,y,z'
'-y,x-y,z'
'-x+y,-x,z'
'-y,-x,z'
'-x+y,y,z'
'x,x-y,z'
loop_
_atom_site_label
_atom_site_type_symbol
_atom_site_fract_x
_atom_site_fract_y
_atom_site_fract_z
Tb1 Tb 0.0000 0.0000 0.0000
Sm1 Sm 0.3333 0.6667 0.5723
C1 C 0.6667 0.3333 0.7941
```

Summary:
spin magnetization	0.001	μB per cell
energy of formation	-0.192	eV/atom
relative energy among the computed polymorphs	0.013	eV per atom
theoretical density	7.33	Mg/m³

---

(12)
Computed, not measured: a relaxed structure of Nd2Sm4Er3 at the PBE level of DFT.

```
data_Nd2Sm4Er3
_space_group_name_H-M_alt 'P 3 m 1'
_space_group_IT_number 156
_cell_length_a 3.6184
_cell_length_b 3.6184
_cell_length_c 26.6831
_cell_angle_alpha 90.00
_cell_angle_beta 90.00
_cell_angle_gamma 120.00
loop_
_space_group_symop_operation_xyz
'x,y,z'
'-y,x-y,z'
'-x+y,-x,z'
'-y,-x,z'
'-x+y,y,z'
'x,x-y,z'
loop_
_atom_site_label
_atom_site_type_symbol
_atom_site_fract_x
_atom_site_fract_y
_atom_site_fract_z
Nd1 Nd 0.0000 0.0000 0.0000
Nd2 Nd 0.0000 0.0000 0.2150
Sm1 Sm 0.0000 0.0000 0.3491
Sm2 Sm 0.0000 0.0000 0.5612
Sm3 Sm 0.3333 0.6667 0.6726
Sm4 Sm 0.3333 0.6667 0.8867
Er1 Er 0.0000 0.0000 0.7798
Er2 Er 0.3333 0.6667 0.1093
Er3 Er 0.3333 0.6667 0.4535
```

Summary:
spin magnetization	0.001	μB per cell
energy of formation	0.051	eV/atom
relative energy among the computed polymorphs	0.000	eV per atom
theoretical density	7.64	Mg/m³

---

> The highest theoretical density belongs to which entry?

Pu2NiCl

---

Please write out number 8 again, unchanged.
Computed, not measured: a relaxed structure of CaBeBr2 at the PBE level of DFT.

```
data_CaBeBr2
_space_group_name_H-M_alt 'P 1 2/m 1'
_space_group_IT_number 10
_cell_length_a 4.421
_cell_length_b 4.125
_cell_length_c 5.906
_cell_angle_alpha 90.00
_cell_angle_beta 111.15
_cell_angle_gamma 90.00
loop_
_space_group_symop_operation_xyz
'x,y,z'
'-x,-y,-z'
'-x,y,-z'
'x,-y,z'
loop_
_atom_site_label
_atom_site_type_symbol
_atom_site_fract_x
_atom_site_fract_y
_atom_site_fract_z
Ca1 Ca 0.000 0.000 0.000
Be1 Be 0.000 0.500 0.500
Br1 Br 0.500 0.000 0.500
Br2 Br 0.500 0.500 0.000
```

Summary:
E_form (uncorrected)	-0.453	eV per atom
spin magnetization	0.000	μB per cell
relative energy among the computed polymorphs	0.347	eV per atom
theoretical density	3.45	Mg/m³

---

> Number 10 is which compound?

Ho4In